A relaxed Pr2NdY3As6 crystal. Source: the Alexandria database, functional PBE-GGA.

Results
Its formation energy is -18.29 eV per formula unit. Its crystal system is monoclinic. The space-group type is C2/m.

a = 9.412 Å, b = 9.412 Å, c = 8.416 Å
α = 102.84°, β = 102.84°, γ = 25.87°
Fractional coordinates of all 12 atoms:
Pr  0.166  0.166  0.333
Pr  0.834  0.834  0.667
Nd  0.500  0.500  0.000
Y  0.167  0.167  0.834
Y  0.500  0.500  0.500
Y  0.833  0.833  0.166
As  0.002  0.002  0.746
As  0.331  0.331  0.923
As  0.336  0.336  0.411
As  0.664  0.664  0.589
As  0.669  0.669  0.077
As  0.998  0.998  0.254

=====

A relaxed PrNdY2As4 crystal. Source: the Alexandria database, functional PBE-GGA.

Results
Its formation energy is -12.21 eV per formula unit. Its crystal system is monoclinic. The space-group type is P2/m.

a = 7.282 Å, b = 4.212 Å, c = 7.290 Å
α = 90.00°, β = 109.49°, γ = 90.00°
Fractional coordinates of all 8 atoms:
Pr  0.000  0.000  0.000
Nd  0.000  0.500  0.500
Y  0.500  0.000  0.500
Y  0.500  0.500  0.000
As  0.259  0.000  0.752
As  0.260  0.500  0.254
As  0.740  0.500  0.746
As  0.741  0.000  0.248

=====

V / A^3/atom: 26.40; 26.35